Er7Tl2Pt2: optimized geometry, GGA-PBE.

The structure in POSCAR format:
```
Er7Tl2Pt2
1.0
6.820 -0.003 -0.760
0.003 7.033 0.003
-1.184 -0.003 6.759
Tl Er Pt
2 7 2
direct
0.818 0.500 0.818 Tl
0.182 0.500 0.182 Tl
0.500 0.758 0.500 Er
0.500 0.250 0.000 Er
0.500 0.242 0.500 Er
0.500 0.750 0.000 Er
0.000 0.000 0.000 Er
0.000 0.750 0.500 Er
0.000 0.250 0.500 Er
0.712 0.000 0.288 Pt
0.288 0.000 0.712 Pt
```

Density of states at the Fermi level   9.9 states/eV/cell
DFT total energy   -4.950 eV/atom
DFT formation energy   -0.52 eV/atom

Dy3Tm2Tl3: optimized geometry, GGA-PBE.

The structure in POSCAR format:
```
Dy3Tm2Tl3
1.0
3.748 0.000 0.000
0.000 5.350 0.000
-1.874 -2.675 11.235
Dy Tl Tm
3 3 2
direct
0.500 0.000 0.000 Dy
0.627 0.627 0.253 Dy
0.373 0.373 0.747 Dy
0.879 0.879 0.758 Tl
0.121 0.121 0.242 Tl
0.000 0.500 0.000 Tl
0.264 0.764 0.529 Tm
0.736 0.236 0.471 Tm
```

Density of states at the Fermi level   7.3 states/eV/cell
DFT total energy   -3.997 eV/atom
DFT formation energy   -0.27 eV/atom

Ba2TbGeSe5: optimized geometry, GGA-PBE.

The structure in POSCAR format:
```
Ba2TbGeSe5
1.0
-1.794 -1.277 3.903
-2.376 -7.192 -6.017
11.183 -6.277 3.087
Se Ge Tb Ba
10 2 2 4
direct
0.701 0.401 0.166 Se
0.649 0.299 0.509 Se
0.043 0.086 0.022 Se
0.500 0.000 0.772 Se
0.316 0.632 0.376 Se
0.684 0.368 0.876 Se
0.957 0.914 0.522 Se
0.299 0.599 0.666 Se
0.351 0.701 0.009 Se
0.500 0.000 0.272 Se
0.444 0.887 0.437 Ge
0.556 0.113 0.937 Ge
0.796 0.592 0.527 Tb
0.204 0.408 0.027 Tb
0.879 0.758 0.187 Ba
0.125 0.250 0.328 Ba
0.875 0.750 0.828 Ba
0.121 0.242 0.687 Ba
```

Density of states at the Fermi level   2.7 states/eV/cell
DFT total energy   -4.930 eV/atom

BaMn3Os: optimized geometry, GGA-PBE.

The structure in POSCAR format:
```
BaMn3Os
1.0
4.941 0.000 0.000
0.000 4.941 0.000
0.000 0.000 4.941
Mn Os Ba
3 1 1
direct
0.000 0.500 0.000 Mn
0.500 0.000 0.000 Mn
0.000 0.000 0.500 Mn
0.000 0.000 0.000 Os
0.500 0.500 0.500 Ba
```

Density of states at the Fermi level   6.5 states/eV/cell
DFT total energy   -7.397 eV/atom
Energy relative to the lowest polymorph listed for this composition   0.0 kJ/mol of formula units
DFT formation energy   0.74 eV/atom

AlCrSe2Br: optimized geometry, GGA-PBE.

The structure in POSCAR format:
```
AlCrSe2Br
1.0
4.833 0.000 0.000
0.000 4.833 0.000
0.000 0.000 5.315
Se Cr Br Al
2 1 1 1
direct
0.000 0.500 0.000 Se
0.500 0.000 0.000 Se
0.000 0.000 0.000 Cr
0.000 0.000 0.500 Br
0.500 0.500 0.500 Al
```

Density of states at the Fermi level   4.2 states/eV/cell
DFT total energy   -4.379 eV/atom
Energy relative to the lowest polymorph listed for this composition   0.0 kJ/mol of formula units

Mg12Tl6Ag: optimized geometry, GGA-PBE.

The structure in POSCAR format:
```
Mg12Tl6Ag
1.0
8.295 -0.934 -1.119
-2.181 8.057 -1.119
-2.181 -2.541 7.728
Mg Tl Ag
12 6 1
direct
0.734 0.088 0.154 Mg
0.154 0.734 0.088 Mg
0.308 0.455 0.196 Mg
0.804 0.692 0.545 Mg
0.455 0.196 0.308 Mg
0.088 0.154 0.734 Mg
0.846 0.266 0.912 Mg
0.196 0.308 0.455 Mg
0.692 0.545 0.804 Mg
0.912 0.846 0.266 Mg
0.545 0.804 0.692 Mg
0.266 0.912 0.846 Mg
0.397 0.615 0.909 Tl
0.603 0.385 0.091 Tl
0.091 0.603 0.385 Tl
0.385 0.091 0.603 Tl
0.615 0.909 0.397 Tl
0.909 0.397 0.615 Tl
0.000 0.000 0.000 Ag
```

Density of states at the Fermi level   6.1 states/eV/cell
DFT total energy   -1.930 eV/atom
Energy relative to the lowest polymorph listed for this composition   0.0 kJ/mol of formula units
DFT formation energy   -0.03 eV/atom